[1]
RhSe | Alexandria via LeMat-Bulk | PBE | relaxed; E_form (uncorrected) = -0.18 eV per atom
1.0
1.734 1.001 7.642
-1.734 1.001 7.642
0.000 -2.002 7.642
Rh Se
2 2
direct
0.118 0.118 0.118
0.882 0.882 0.882
0.397 0.397 0.397
0.603 0.603 0.603

[2]
Ba2In12Au7 | Alexandria via LeMat-Bulk | PBE | relaxed; formation enthalpy at 0 K = -0.355 eV/atom
1.0
11.460 0.000 0.000
-5.730 9.925 0.000
0.000 0.000 4.629
Ba In Au
2 12 7
direct
0.000 0.000 0.000
0.333 0.667 0.500
0.043 0.281 0.500
0.105 0.713 0.000
0.238 0.957 0.500
0.287 0.392 0.000
0.384 0.180 0.000
0.544 0.428 0.500
0.572 0.116 0.500
0.608 0.895 0.000
0.719 0.762 0.500
0.796 0.616 0.000
0.820 0.204 0.000
0.884 0.456 0.500
0.074 0.453 0.000
0.255 0.222 0.500
0.379 0.926 0.000
0.547 0.621 0.000
0.667 0.333 0.000
0.778 0.033 0.500
0.967 0.745 0.500

[3]
PmCuF4 | Alexandria via LeMat-Bulk | PBE | relaxed; E_form (uncorrected) = -3.00 eV per atom
1.0
5.262 -3.480 0.000
5.262 3.480 0.000
-3.548 0.000 4.976
Pm Cu F
2 2 8
direct
0.000 0.500 0.000
0.500 0.000 0.500
0.241 0.759 0.750
0.759 0.241 0.250
0.242 0.758 0.052
0.242 0.758 0.448
0.254 0.256 0.256
0.256 0.254 0.756
0.744 0.746 0.244
0.746 0.744 0.744
0.758 0.242 0.552
0.758 0.242 0.948

[4]
Sb2TeSCl | Alexandria via LeMat-Bulk | PBE | relaxed; E_form (uncorrected) = 0.46 eV per atom
1.0
5.291 0.000 0.000
0.000 5.291 0.000
0.000 0.000 5.249
Sb Te S Cl
2 1 1 1
direct
0.000 0.500 0.000
0.500 0.000 0.000
0.000 0.000 0.500
0.000 0.000 0.000
0.500 0.500 0.500

[5]
Ho3Np | Alexandria via LeMat-Bulk | PBE | relaxed; formation enthalpy at 0 K = 0.370 eV/atom
1.0
7.031 0.000 0.000
-3.516 6.089 0.000
0.000 0.000 5.602
Ho Np
6 2
direct
0.169 0.337 0.250
0.169 0.831 0.250
0.337 0.169 0.750
0.663 0.831 0.250
0.831 0.169 0.750
0.831 0.663 0.750
0.333 0.667 0.750
0.667 0.333 0.250

[6]
BaBiF3 | Alexandria via LeMat-Bulk | PBE | relaxed; E_form (uncorrected) = -2.18 eV per atom
1.0
5.092 0.000 0.000
0.000 5.092 0.000
0.000 0.000 5.092
Ba Bi F
1 1 3
direct
0.000 0.000 0.000
0.500 0.500 0.500
0.000 0.000 0.500
0.000 0.500 0.000
0.500 0.000 0.000

[7]
CsNb3Pt | Alexandria via LeMat-Bulk | PBE | relaxed; formation enthalpy at 0 K = 2.738 eV/atom
1.0
4.959 0.000 0.000
0.000 4.959 0.000
0.000 0.000 4.959
Cs Nb Pt
1 3 1
direct
0.000 0.000 0.000
0.000 0.000 0.500
0.000 0.500 0.000
0.500 0.000 0.000
0.500 0.500 0.500

[8]
DyPBr | Alexandria via LeMat-Bulk | PBE | relaxed; E_form (uncorrected) = -1.41 eV per atom
1.0
3.892 0.000 0.000
1.868 4.690 0.000
1.818 1.595 10.429
Dy P Br
2 2 2
direct
0.178 0.288 0.364
0.822 0.712 0.636
0.481 0.687 0.424
0.519 0.313 0.576
0.202 0.796 0.822
0.798 0.204 0.178

[9]
Co2Tc2Ir | Alexandria via LeMat-Bulk | PBE | relaxed; formation enthalpy at 0 K = 0.087 eV/atom
1.0
6.906 0.000 0.000
0.000 6.906 0.000
0.000 0.000 2.726
Co Tc Ir
4 4 2
direct
0.121 0.379 0.000
0.379 0.879 0.000
0.621 0.121 0.000
0.879 0.621 0.000
0.175 0.675 0.500
0.325 0.175 0.500
0.675 0.825 0.500
0.825 0.325 0.500
0.000 0.000 0.000
0.500 0.500 0.000

[10]
Dy4URu5 | Alexandria via LeMat-Bulk | PBE | relaxed; formation enthalpy at 0 K = -0.164 eV/atom
1.0
-4.412 4.412 2.741
4.412 -4.412 2.741
4.412 4.412 -2.741
Dy U Ru
4 1 5
direct
0.080 0.321 0.401
0.321 0.920 0.241
0.679 0.080 0.759
0.920 0.679 0.599
0.715 0.715 0.000
0.134 0.134 0.000
0.263 0.588 0.872
0.391 0.263 0.674
0.588 0.717 0.326
0.717 0.391 0.128

[11]
K3LiTl2Br6 | Alexandria via LeMat-Bulk | PBE | relaxed; E_form (uncorrected) = -1.38 eV per atom
1.0
4.040 -7.009 0.000
4.040 7.009 0.000
-2.698 0.000 7.465
K Li Tl Br
3 1 2 6
direct
0.000 0.000 0.000
0.329 0.671 0.000
0.671 0.329 0.000
0.500 0.500 0.500
0.165 0.835 0.500
0.835 0.165 0.500
0.110 0.419 0.258
0.289 0.289 0.723
0.419 0.110 0.258
0.581 0.890 0.742
0.711 0.711 0.277
0.890 0.581 0.742

[12]
BeRe5 | Alexandria via LeMat-Bulk | PBE | relaxed; formation enthalpy at 0 K = 0.092 eV/atom
1.0
2.138 -4.678 0.000
2.138 4.678 0.000
0.000 0.000 4.266
Be Re
1 5
direct
0.000 0.000 0.000
0.161 0.839 0.500
0.336 0.664 0.000
0.500 0.500 0.500
0.664 0.336 0.000
0.839 0.161 0.500

Magnetization, respectively: 0.0 0.0 0.1 0.0 5.0 2.0 0.0 0.0 1.1 0.0 0.0 0.0 μB per formula unit.
Energy, respectively: -5.596 -3.196 -5.721 -3.010 -6.299 -4.461 -4.683 -5.301 -8.674 -7.771 -3.045 -10.902 eV per atom.